VASP calculation (PBEsol) on a relaxed structure of KZrCd2.

The structure in CIF format:
```
data_KZrCd2
_cell_length_a 3.140
_cell_length_b 3.140
_cell_length_c 10.341
_cell_angle_alpha 90.00
_cell_angle_beta 90.00
_cell_angle_gamma 90.00
_space_group_name_H-M_alt 'P 4 m m'
_space_group_IT_number 99
loop_
_space_group_symop_operation_xyz
'x,y,z'
'-y,x,z'
'-x,-y,z'
'y,-x,z'
'-x,y,z'
'y,x,z'
'x,-y,z'
'-y,-x,z'
loop_
_atom_site_label
_atom_site_fract_x
_atom_site_fract_y
_atom_site_fract_z
K1 0.000 0.000 0.000
Zr1 0.500 0.500 0.328
Cd1 0.000 0.000 0.526
Cd2 0.500 0.500 0.730
```

Calculated values
Magnetization in μB per atom: 0.000
Energy relative to the lowest polymorph listed for this composition in kJ per mole of atoms: 0.0
Formation energy from the elements in kcal/mol of atoms: 5.891

VASP calculation (PBEsol) on a relaxed structure of LaCd.

The structure in CIF format:
```
data_LaCd
_cell_length_a 12.077
_cell_length_b 3.833
_cell_length_c 5.347
_cell_angle_alpha 90.00
_cell_angle_beta 116.17
_cell_angle_gamma 90.00
_space_group_name_H-M_alt 'C 1 2/m 1'
_space_group_IT_number 12
loop_
_space_group_symop_operation_xyz
'x,y,z'
'-x,-y,-z'
'-x,y,-z'
'x,-y,z'
'x+1/2,y+1/2,z'
'-x+1/2,-y+1/2,-z'
'-x+1/2,y+1/2,-z'
'x+1/2,-y+1/2,z'
loop_
_atom_site_label
_atom_site_fract_x
_atom_site_fract_y
_atom_site_fract_z
La1 0.113 0.000 0.364
Cd1 0.150 0.500 0.900
```

Calculated values
Magnetization in μB per atom: 0.000
Formation energy from the elements in kcal/mol of atoms: -6.575

no.,total energy (eV per atom)
1,-2.90
2,-3.56